A plane-wave DFT calculation with PBE was carried out for CaIn3Te after structural relaxation. Values from VASP.

Quantum ESPRESSO input file:
```
&SYSTEM
  ibrav = 0, nat = 5, ntyp = 3
/
ATOMIC_SPECIES
In 114.82 In.upf
Te 127.60 Te.upf
Ca 40.08 Ca.upf
CELL_PARAMETERS angstrom
5.918 0.000 0.000
0.000 5.918 0.000
0.000 0.000 5.918
ATOMIC_POSITIONS angstrom
In 2.959 0.000 0.000
In 0.000 0.000 2.959
In 0.000 2.959 0.000
Te 2.959 2.959 2.959
Ca 0.000 0.000 0.000
```

Calculated values
Total energy: -2.18 eV per atom
Energy relative to the elements, uncorrected: 0.496 eV/atom
Volume: 207.2 Å³ per cell
Space-group type: Pm-3m
Relative energy among the computed polymorphs: 217 meV/atom

A plane-wave DFT calculation with PBE was carried out for La4OsBr after structural relaxation. Values from VASP.

Quantum ESPRESSO input file:
```
&SYSTEM
  ibrav = 0, nat = 6, ntyp = 3
/
ATOMIC_SPECIES
La 138.91 La.upf
Br 79.90 Br.upf
Os 190.23 Os.upf
CELL_PARAMETERS angstrom
4.539 2.009 3.737
-1.089 4.630 3.997
-0.257 -1.157 6.099
ATOMIC_POSITIONS angstrom
La 1.072 1.486 8.228
La 0.659 4.360 7.185
La 3.454 3.058 7.055
La 1.200 2.061 5.200
Br 0.000 0.000 0.000
Os 2.395 4.112 10.375
```

Calculated values
Total energy: -4.79 eV per atom
Energy relative to the elements, uncorrected: 0.642 eV/atom
Volume: 169.6 Å³ per cell
Space-group type: F-43m

A plane-wave DFT calculation with PBE was carried out for TiZnSe2N after structural relaxation. Values from VASP.

Quantum ESPRESSO input file:
```
&SYSTEM
  ibrav = 0, nat = 5, ntyp = 4
/
ATOMIC_SPECIES
Ti 47.87 Ti.upf
N 14.01 N.upf
Se 78.96 Se.upf
Zn 65.41 Zn.upf
CELL_PARAMETERS angstrom
-4.226 -2.576 -0.926
2.677 -4.245 -0.412
-0.415 -0.610 3.593
ATOMIC_POSITIONS angstrom
Ti -0.982 -3.716 1.128
N -0.207 -0.305 1.796
Se 1.339 -2.122 -0.206
Se -2.113 -1.288 -0.463
Zn 0.000 0.000 0.000
```

Calculated values
Total energy: -4.27 eV per atom
Energy relative to the elements, uncorrected: 0.623 eV/atom
Volume: 93.0 Å³ per cell
Space-group type: P4/mmm
Relative energy among the computed polymorphs: 665 meV/atom

A plane-wave DFT calculation with PBE was carried out for InPAu after structural relaxation. Values from VASP.

Quantum ESPRESSO input file:
```
&SYSTEM
  ibrav = 0, nat = 3, ntyp = 3
/
ATOMIC_SPECIES
Au 196.97 Au.upf
P 30.97 P.upf
In 114.82 In.upf
CELL_PARAMETERS angstrom
3.852 0.000 0.000
0.000 3.852 0.000
0.000 0.000 4.788
ATOMIC_POSITIONS angstrom
Au 1.926 1.926 2.394
P 1.926 1.926 0.000
In 0.000 0.000 0.000
```

Calculated values
Total energy: -3.69 eV per atom
Volume: 71.0 Å³ per cell
Space-group type: P4/mmm
Energy relative to the elements: 0.4 eV per formula unit
Relative energy among the computed polymorphs: 87 meV/atom

Q: Which of these has the highest total energy?
A: CaIn3Te

Q: Which of these has the lowest total energy?
A: La4OsBr

Please write out number 2 again, unchanged.
A plane-wave DFT calculation with PBE was carried out for La4OsBr after structural relaxation. Values from VASP.

Quantum ESPRESSO input file:
```
&SYSTEM
  ibrav = 0, nat = 6, ntyp = 3
/
ATOMIC_SPECIES
La 138.91 La.upf
Br 79.90 Br.upf
Os 190.23 Os.upf
CELL_PARAMETERS angstrom
4.539 2.009 3.737
-1.089 4.630 3.997
-0.257 -1.157 6.099
ATOMIC_POSITIONS angstrom
La 1.072 1.486 8.228
La 0.659 4.360 7.185
La 3.454 3.058 7.055
La 1.200 2.061 5.200
Br 0.000 0.000 0.000
Os 2.395 4.112 10.375
```

Calculated values
Total energy: -4.79 eV per atom
Energy relative to the elements, uncorrected: 0.642 eV/atom
Volume: 169.6 Å³ per cell
Space-group type: F-43m